{
  "formula": "SrPm2Eu",
  "functional": "PBE",
  "state": "relaxed",
  "cell": [[-3.5039, -0.8481, -1.1254], [0.0124, -3.0345, 2.2483], [-4.0923, 6.0471, 8.1841]],
  "species": ["Eu", "Sr", "Pm", "Pm"],
  "fractional_positions": [[0.5000, 0.5000, 0.0000], [0.5000, 0.5000, 0.5000], [0.0000, 0.0000, 0.7656], [0.0000, 0.0000, 0.2344]],
  "de_polymorph_mev_per_atom": 0,
  "formation_energy_ev_per_atom": 0.149
}